Na2Mn2BiO6: relaxed, PBE with a Hubbard U.

It has space group C2/m (No. 12), with a = 5.882 Å, b = 9.309 Å, c = 6.063 Å, α = 90.00°, β = 111.62° and γ = 90.00°. Symmetry generates all atoms from Na at (0.000, 0.181, 0.000), Mn at (0.000, 0.337, 0.500), Bi at (0.000, 0.000, 0.500), O at (0.206, 0.191, 0.703) and O at (0.212, 0.500, 0.679).

The total energy comes out at -134.40 eV for the cell shown. The magnetic moment is 0.636 μB/atom.